[1]
Entry from Alexandria: Tb4Pr15Nd after structural relaxation (PBE).

```
20
Lattice="5.216 0.000 0.000 0.000 5.216 0.000 0.000 0.000 25.959" Properties=species:S:1:pos:R:3 pbc="T T T"
Pr 0.000 2.608 23.331
Pr 2.608 0.000 23.331
Pr 0.000 2.608 2.628
Pr 0.000 2.608 18.152
Pr 2.608 2.608 15.566
Pr 2.608 0.000 2.628
Pr 2.608 2.608 10.393
Pr 2.608 2.608 20.733
Pr 2.608 0.000 18.152
Pr 2.608 2.608 0.000
Pr 2.608 0.000 7.807
Pr 0.000 2.608 7.807
Pr 2.608 0.000 12.979
Pr 0.000 2.608 12.979
Pr 2.608 2.608 5.226
Tb 0.000 0.000 15.564
Tb 0.000 0.000 20.740
Tb 0.000 0.000 10.394
Tb 0.000 0.000 5.219
Nd 0.000 0.000 0.000
```

Results
D(E_F)	28.84	states/eV/cell
theoretical density	6.80	g/cm³
DFT formation energy	1.15	kJ/mol of atoms
volume	706.3	Å³ per cell
total magnetic moment	0.0	Bohr magnetons per cell

=====

[2]
Entry from Alexandria: CsIn2Pb2 after structural relaxation (PBE).

```
10
Lattice="7.712 0.798 0.005 4.571 6.917 -0.011 3.858 0.380 8.009" Properties=species:S:1:pos:R:3 pbc="T T T"
Cs 4.983 2.106 5.679
Cs 11.158 5.990 2.324
In 2.587 1.244 1.648
In 8.744 5.067 6.352
In 13.554 6.852 6.355
In 7.396 3.029 1.651
Pb 7.308 5.598 3.652
Pb 4.994 2.126 0.033
Pb 8.832 2.498 4.351
Pb 11.146 5.970 7.970
```

Results
energy relative to the lowest polymorph listed for this composition	66	meV per atom
D(E_F)	3.04	states/eV/cell
theoretical density	6.48	g/cm³
DFT formation energy	-6.65	kJ/mol of atoms
volume	397.9	Å³ per cell
total magnetic moment	0.0	Bohr magnetons per cell

=====

[3]
Entry from Alexandria: Zn4AgAu7 after structural relaxation (PBE).

```
12
Lattice="5.086 0.000 0.000 2.543 7.998 0.051 2.543 0.300 5.543" Properties=species:S:1:pos:R:3 pbc="T T T"
Au 2.543 5.347 1.068
Au 7.629 2.951 4.526
Au 7.629 7.345 2.934
Au 5.086 3.753 1.487
Au 5.086 4.546 4.106
Au 2.543 0.953 2.659
Au 2.543 0.000 0.000
Ag 0.000 0.000 0.000
Zn 5.086 6.354 2.191
Zn 2.543 2.660 0.718
Zn 5.086 1.945 3.403
Zn 7.629 5.639 4.876
```

Results
D(E_F)	3.43	states/eV/cell
theoretical density	12.88	g/cm³
DFT formation energy	-3.08	kJ/mol of atoms
volume	225.4	Å³ per cell
total magnetic moment	0.0	Bohr magnetons per cell

=====

[4]
Entry from Alexandria: Nd2Zr2O7 after structural relaxation (PBE).

```
22
Lattice="3.671 0.000 0.000 0.000 7.678 0.000 0.000 0.000 11.000" Properties=species:S:1:pos:R:3 pbc="T T T"
O 1.836 1.919 9.535
O 0.000 4.137 6.968
O 0.000 7.379 6.968
O 0.000 0.193 9.741
O 1.836 5.758 4.071
O 1.836 1.919 6.928
O 0.000 0.298 4.032
O 0.000 3.646 9.741
O 0.000 7.485 1.258
O 1.836 1.919 1.104
O 0.000 3.540 4.032
O 0.000 4.031 1.258
O 1.836 5.758 9.896
O 1.836 5.758 1.465
Zr 0.000 5.758 2.624
Zr 1.836 3.839 0.000
Zr 1.836 0.000 0.000
Zr 0.000 1.919 8.376
Nd 0.000 1.919 2.444
Nd 1.836 3.839 5.500
Nd 0.000 5.758 8.555
Nd 1.836 0.000 5.500
```

Results
formation energy (no corrections)	-3165.3	meV per atom
D(E_F)	0.00	states/eV/cell
theoretical density	6.24	g/cm³
volume	310.0	Å³ per cell
total magnetic moment	0.0	Bohr magnetons per cell

=====

[5]
Entry from Alexandria: YThAl2Zn2 after structural relaxation (PBE).

```
6
Lattice="-2.832 3.201 1.339 -1.056 -4.313 0.587 3.294 0.107 6.711" Properties=species:S:1:pos:R:3 pbc="T T T"
Zn -0.766 -1.780 2.634
Zn 0.173 0.775 6.004
Y 1.647 0.054 3.355
Al 0.784 -1.729 5.791
Al -1.377 0.725 2.846
Th 0.000 0.000 0.000
```

Results
D(E_F)	3.86	states/eV/cell
theoretical density	6.46	g/cm³
DFT formation energy	-40.94	kJ/mol of atoms
volume	129.9	Å³ per cell
total magnetic moment	0.0	Bohr magnetons per cell

=====

[6]
Entry from Alexandria: NaS2O6 after structural relaxation (PBE).

```
18
Lattice="5.696 0.000 0.000 0.000 5.334 -0.487 0.000 4.450 9.657" Properties=species:S:1:pos:R:3 pbc="T T T"
O 5.315 5.577 7.169
O 4.862 7.801 8.186
O 0.381 4.207 2.001
O 3.683 5.575 3.358
O 3.714 5.317 0.882
O 2.014 4.209 5.812
O 2.467 6.432 6.829
O 1.983 4.467 8.287
O 0.866 2.242 3.459
O 4.831 7.542 5.711
O 3.229 3.352 2.341
O 0.835 1.984 0.984
S 1.853 5.076 6.970
S 0.995 2.851 2.141
S 4.701 6.933 7.029
S 3.843 4.708 2.200
Na 0.000 0.000 0.000
Na 2.848 2.225 4.829
```

Results
formation energy (no corrections)	-1222.4	meV per atom
energy relative to the lowest polymorph listed for this composition	20	meV per atom
D(E_F)	2.28	states/eV/cell
theoretical density	1.99	g/cm³
volume	305.8	Å³ per cell
total magnetic moment	1.0	Bohr magnetons per cell